[1]
An optimized crystal structure of MgTiAgPd. Source: the Alexandria database, functional PBE-GGA.

The space group is F-43m (No. 216) and the conventional cell measures 6.456, 6.456 and 6.456 Å, with angles of 90.00, 90.00 and 90.00 degrees. Symmetry generates all atoms from Mg at (0.000, 0.000, 0.000), Ti at (0.000, 0.000, 0.500), Ag at (0.250, 0.250, 0.250) and Pd at (0.250, 0.250, 0.750).

The energy comes out at -75.0 eV per cell. The magnetic moment comes out at 0.00 μB/atom. Its formation energy is -1.22 eV per formula unit.


[2]
An optimized crystal structure of AgGeBr3. Source: the Alexandria database, functional PBE-GGA.

The space group is P2_1/c (No. 14) and the conventional cell measures 7.473, 7.774 and 13.346 Å, with angles of 90.00, 109.01 and 90.00 degrees. Symmetry generates all atoms from Ag at (0.175, 0.114, 0.296), Ge at (0.333, 0.511, 0.105), Br at (0.045, 0.133, 0.651), Br at (0.374, 0.238, 0.492) and Br at (0.414, 0.590, 0.730).

The value obtained for the polymorph energy (0 for the lowest one) is 0 meV/atom. The energy comes out at -59.1 eV per cell. The calculation puts the raw formation energy at -458 meV/atom. The magnetic moment comes out at 0.00 μB/atom.


[3]
An optimized crystal structure of PrHo2Pd. Source: the Alexandria database, functional PBE-GGA.

The space group is R3m (No. 160, hexagonal axes) and the conventional cell measures 3.8915, 3.8915 and 27.5625 Å, with angles of 90.00, 90.00 and 120.00 degrees. Symmetry generates all atoms from Pr at (0.0000, 0.0000, 0.0000), Ho at (0.0000, 0.0000, 0.5590), Ho at (0.0000, 0.0000, 0.7702) and Pd at (0.0000, 0.0000, 0.1641).

The value obtained for the polymorph energy (0 for the lowest one) is 129 meV/atom. The energy comes out at -61.3 eV per cell. The magnetic moment comes out at 0.00 μB/atom. Its formation energy is -1.30 eV per formula unit.


[4]
An optimized crystal structure of TaNb3S. Source: the Alexandria database, functional PBE-GGA.

The space group is Pm-3m (No. 221) and the conventional cell measures 4.569, 4.569 and 4.569 Å, with angles of 90.00, 90.00 and 90.00 degrees. Symmetry generates all atoms from Ta at (0.000, 0.000, 0.000), Nb at (0.000, 0.500, 0.500) and S at (0.500, 0.500, 0.500).

The value obtained for the polymorph energy (0 for the lowest one) is 425 meV/atom. The energy comes out at -45.4 eV per cell. The calculation puts the raw formation energy at 166 meV/atom. The magnetic moment comes out at 0.00 μB/atom.


[5]
An optimized crystal structure of KMn2Pt. Source: the Alexandria database, functional PBE-GGA.

The space group is P2/m (No. 10) and the conventional cell measures 2.679, 4.286 and 6.821 Å, with angles of 90.00, 91.16 and 90.00 degrees. Symmetry generates all atoms from K at (0.000, 0.000, 0.000), Mn at (0.007, 0.500, 0.636) and Pt at (0.500, 0.000, 0.500).

The value obtained for the polymorph energy (0 for the lowest one) is 235 meV/atom. The energy comes out at -23.1 eV per cell. The magnetic moment comes out at 0.00 μB/atom. Its formation energy is 2.33 eV per formula unit.


[6]
An optimized crystal structure of YCr2Hg. Source: the Alexandria database, functional PBE-GGA.

The space group is I-42d (No. 122) and the conventional cell measures 7.797, 7.797 and 6.050 Å, with angles of 90.00, 90.00 and 90.00 degrees. Symmetry generates all atoms from Y at (0.000, 0.000, 0.000), Cr at (0.219, 0.250, 0.625) and Hg at (0.000, 0.000, 0.500).

The value obtained for the polymorph energy (0 for the lowest one) is 530 meV/atom. The energy comes out at -92.8 eV per cell. The magnetic moment comes out at 1.93 μB/atom. Its formation energy is 2.80 eV per formula unit.


[7]
An optimized crystal structure of Rb3NbO8. Source: the Alexandria database, functional PBE-GGA.

The space group is I-42m (No. 121) and the conventional cell measures 7.199, 7.199 and 8.251 Å, with angles of 90.00, 90.00 and 90.00 degrees. Symmetry generates all atoms from Rb at (0.000, 0.000, 0.000), Rb at (0.000, 0.500, 0.250), Nb at (0.000, 0.000, 0.500), O at (0.136, 0.136, 0.318) and O at (0.205, 0.205, 0.479).

The energy comes out at -137.9 eV per cell. The calculation puts the raw formation energy at -1358 meV/atom. The magnetic moment comes out at 0.00 μB/atom.


[8]
An optimized crystal structure of LiHoPa2As4. Source: the Alexandria database, functional PBE-GGA.

The space group is P2/m (No. 10) and the conventional cell measures 6.922, 4.117 and 7.134 Å, with angles of 90.00, 109.99 and 90.00 degrees. Symmetry generates all atoms from Li at (0.000, 0.000, 0.000), Ho at (0.000, 0.500, 0.500), Pa at (0.500, 0.000, 0.500), Pa at (0.500, 0.500, 0.000), As at (0.250, 0.000, 0.754) and As at (0.254, 0.500, 0.250).

The energy comes out at -52.3 eV per cell. The magnetic moment comes out at 0.00 μB/atom. Its formation energy is -8.18 eV per formula unit.


[9]
An optimized crystal structure of Na2InHBr. Source: the Alexandria database, functional PBE-GGA.

The space group is P4/mmm (No. 123) and the conventional cell measures 5.029, 5.029 and 4.837 Å, with angles of 90.00, 90.00 and 90.00 degrees. Symmetry generates all atoms from Na at (0.000, 0.500, 0.000), In at (0.000, 0.000, 0.500), H at (0.000, 0.000, 0.000) and Br at (0.500, 0.500, 0.500).

The energy comes out at -12.0 eV per cell. The magnetic moment comes out at 0.00 μB/atom.


[10]
An optimized crystal structure of CaHf. Source: the Alexandria database, functional PBE-GGA.

The space group is I4/m (No. 87) and the conventional cell measures 12.396, 12.396 and 3.185 Å, with angles of 90.00, 90.00 and 90.00 degrees. Symmetry generates all atoms from Ca at (0.122, 0.669, 0.000) and Hf at (0.068, 0.150, 0.000).

The value obtained for the polymorph energy (0 for the lowest one) is 281 meV/atom. The energy comes out at -85.0 eV per cell. The magnetic moment comes out at 0.08 μB/atom. Its formation energy is 1.33 eV per formula unit.


[11]
An optimized crystal structure of TbHfIn. Source: the Alexandria database, functional PBE-GGA.

The space group is I4mm (No. 107) and the conventional cell measures 3.402, 3.402 and 13.110 Å, with angles of 90.00, 90.00 and 90.00 degrees. Symmetry generates all atoms from Tb at (0.000, 0.000, 0.000), Hf at (0.000, 0.000, 0.327) and In at (0.000, 0.000, 0.675).

The value obtained for the polymorph energy (0 for the lowest one) is 0 meV/atom. The energy comes out at -35.6 eV per cell. The magnetic moment comes out at 0.00 μB/atom. Its formation energy is -0.47 eV per formula unit.


[12]
An optimized crystal structure of ErScSO2. Source: the Alexandria database, functional PBE-GGA.

The space group is P2_1/m (No. 11) and the conventional cell measures 6.328, 3.925 and 7.292 Å, with angles of 90.00, 113.50 and 90.00 degrees. Symmetry generates all atoms from Er at (0.191, 0.250, 0.441), Sc at (0.164, 0.250, 0.940), S at (0.478, 0.750, 0.729), O at (0.007, 0.750, 0.366) and O at (0.039, 0.750, 0.899).

The energy comes out at -80.7 eV per cell. The calculation puts the raw formation energy at -3081 meV/atom. The magnetic moment comes out at 0.00 μB/atom.


[13]
An optimized crystal structure of Na5SiP3. Source: the Alexandria database, functional PBE-GGA.

The space group is P2_1/c (No. 14) and the conventional cell measures 7.954, 7.345 and 15.282 Å, with angles of 90.00, 120.62 and 90.00 degrees. Symmetry generates all atoms from Na at (0.057, 0.009, 0.243), Na at (0.243, 0.529, 0.582), Na at (0.337, 0.654, 0.259), Na at (0.341, 0.163, 0.918), Na at (0.414, 0.017, 0.587), Si at (0.011, 0.138, 0.583), P at (0.020, 0.179, 0.435), P at (0.258, 0.742, 0.421) and P at (0.297, 0.229, 0.720).

The energy comes out at -128.0 eV per cell. The calculation puts the raw formation energy at -416 meV/atom. The magnetic moment comes out at 0.00 μB/atom.


[14]
An optimized crystal structure of La3TlRu. Source: the Alexandria database, functional PBE-GGA.

The space group is R3c (No. 161, hexagonal axes) and the conventional cell measures 8.2048, 8.2048 and 15.8744 Å, with angles of 90.00, 90.00 and 120.00 degrees. Symmetry generates all atoms from La at (0.0292, 0.4272, 0.0000), Tl at (0.0000, 0.0000, 0.0154) and Ru at (0.0000, 0.0000, 0.2152).

The value obtained for the polymorph energy (0 for the lowest one) is 85 meV/atom. The energy comes out at -167.7 eV per cell. The magnetic moment comes out at 0.00 μB/atom. Its formation energy is -1.52 eV per formula unit.


[15]
An optimized crystal structure of Sc3Ni8Ru. Source: the Alexandria database, functional PBE-GGA.

The space group is R3m (No. 160, hexagonal axes) and the conventional cell measures 4.8344, 4.8344 and 23.7480 Å, with angles of 90.00, 90.00 and 120.00 degrees. Symmetry generates all atoms from Sc at (0.0000, 0.0000, 0.0000), Sc at (0.0000, 0.0000, 0.1308), Sc at (0.0000, 0.0000, 0.6130), Ni at (0.0000, 0.0000, 0.3113), Ni at (0.0000, 0.0000, 0.8117), Ni at (0.0022, 0.5011, 0.5615), Ni at (0.1671, 0.3342, 0.3950) and Ru at (0.0000, 0.0000, 0.4914).

The energy comes out at -236.8 eV per cell. The magnetic moment comes out at 0.23 μB/atom. Its formation energy is -4.42 eV per formula unit.


[16]
An optimized crystal structure of LiTbZn2. Source: the Alexandria database, functional PBE-GGA.

The space group is Fm-3m (No. 225) and the conventional cell measures 6.771, 6.771 and 6.771 Å, with angles of 90.00, 90.00 and 90.00 degrees. Symmetry generates all atoms from Li at (0.000, 0.000, 0.000), Tb at (0.000, 0.000, 0.500) and Zn at (0.250, 0.250, 0.250).

The value obtained for the polymorph energy (0 for the lowest one) is 0 meV/atom. The energy comes out at -40.4 eV per cell. The magnetic moment comes out at 0.00 μB/atom. Its formation energy is -1.00 eV per formula unit.


[17]
An optimized crystal structure of HfMoPCl2. Source: the Alexandria database, functional PBE-GGA.

The space group is P4/mmm (No. 123) and the conventional cell measures 4.853, 4.853 and 5.209 Å, with angles of 90.00, 90.00 and 90.00 degrees. Symmetry generates all atoms from Hf at (0.000, 0.000, 0.000), Mo at (0.500, 0.500, 0.500), P at (0.000, 0.000, 0.500) and Cl at (0.000, 0.500, 0.000).

The value obtained for the polymorph energy (0 for the lowest one) is 0 meV/atom. The energy comes out at -29.2 eV per cell. The calculation puts the raw formation energy at 137 meV/atom. The magnetic moment comes out at 0.93 μB/atom.


[18]
An optimized crystal structure of EuMgCdSb. Source: the Alexandria database, functional PBE-GGA.

The space group is F-43m (No. 216) and the conventional cell measures 7.571, 7.571 and 7.571 Å, with angles of 90.00, 90.00 and 90.00 degrees. Symmetry generates all atoms from Eu at (0.000, 0.000, 0.000), Mg at (0.000, 0.000, 0.500), Cd at (0.250, 0.250, 0.750) and Sb at (0.250, 0.250, 0.250).

The energy comes out at -73.9 eV per cell. The calculation puts the raw formation energy at -390 meV/atom. The magnetic moment comes out at 1.74 μB/atom.


[19]
An optimized crystal structure of LiY2As. Source: the Alexandria database, functional PBE-GGA.

The space group is F-43m (No. 216) and the conventional cell measures 7.230, 7.230 and 7.230 Å, with angles of 90.00, 90.00 and 90.00 degrees. Symmetry generates all atoms from Li at (0.000, 0.000, 0.000), Y at (0.000, 0.000, 0.500), Y at (0.250, 0.250, 0.250) and As at (0.250, 0.250, 0.750).

The energy comes out at -77.8 eV per cell. The magnetic moment comes out at 0.38 μB/atom. Its formation energy is 0.05 eV per formula unit.


[20]
An optimized crystal structure of CeZn4Ga. Source: the Alexandria database, functional PBE-GGA.

The space group is Pmma (No. 51) and the conventional cell measures 7.251, 4.245 and 7.291 Å, with angles of 90.00, 90.00 and 90.00 degrees. Symmetry generates all atoms from Ce at (0.250, 0.000, 0.138), Zn at (0.000, 0.000, 0.500), Zn at (0.056, 0.500, 0.819), Zn at (0.250, 0.500, 0.439) and Ga at (0.250, 0.000, 0.732).

The energy comes out at -30.2 eV per cell. The magnetic moment comes out at 0.16 μB/atom. Its formation energy is -1.04 eV per formula unit.


[21]
An optimized crystal structure of TlCdTe. Source: the Alexandria database, functional PBE-GGA.

The space group is P3m1 (No. 156) and the conventional cell measures 3.4264, 3.4264 and 8.6273 Å, with angles of 90.00, 90.00 and 120.00 degrees. Symmetry generates all atoms from Tl at (0.0000, 0.0000, 0.0000), Cd at (0.3333, 0.6667, 0.3332) and Te at (0.6667, 0.3333, 0.6516).

The value obtained for the polymorph energy (0 for the lowest one) is 307 meV/atom. The energy comes out at -6.2 eV per cell. The calculation puts the raw formation energy at 87 meV/atom. The magnetic moment comes out at 0.00 μB/atom.


[22]
An optimized crystal structure of ReH2Rh. Source: the Alexandria database, functional PBE-GGA.

The space group is Fm-3m (No. 225) and the conventional cell measures 5.264, 5.264 and 5.264 Å, with angles of 90.00, 90.00 and 90.00 degrees. Symmetry generates all atoms from Re at (0.000, 0.000, 0.000), H at (0.250, 0.250, 0.250) and Rh at (0.000, 0.000, 0.500).

The value obtained for the polymorph energy (0 for the lowest one) is 662 meV/atom. The energy comes out at -91.5 eV per cell. The magnetic moment comes out at 0.07 μB/atom.


[23]
An optimized crystal structure of CeHfAgAu. Source: the Alexandria database, functional PBE-GGA.

The space group is F-43m (No. 216) and the conventional cell measures 7.115, 7.115 and 7.115 Å, with angles of 90.00, 90.00 and 90.00 degrees. Symmetry generates all atoms from Ce at (0.000, 0.000, 0.000), Hf at (0.000, 0.000, 0.500), Ag at (0.250, 0.250, 0.250) and Au at (0.250, 0.250, 0.750).

The energy comes out at -90.4 eV per cell. The magnetic moment comes out at 0.36 μB/atom. Its formation energy is -0.59 eV per formula unit.